! YScMoO6 GGA+U optimized geometry; values from VASP
! Total energy in eV/f.u.: -72.8
! Total moment in μB per atom: 0.000
! Calculated volume in Å³ per cell: 115
! DOS(E_F) in states/eV/atom: 0.000
&SYSTEM
  ibrav = 0, nat = 9, ntyp = 4
/
ATOMIC_SPECIES
Y 88.91 Y.upf
Sc 44.96 Sc.upf
Mo 95.94 Mo.upf
O 16.00 O.upf
CELL_PARAMETERS angstrom
5.409 0.000 0.000
-2.705 4.685 0.000
0.000 0.000 4.556
ATOMIC_POSITIONS crystal
Y 0.000 0.000 0.000
Sc 0.667 0.333 0.500
Mo 0.333 0.667 0.000
O 0.023 0.376 0.239
O 0.023 0.647 0.761
O 0.353 0.376 0.761
O 0.353 0.977 0.239
O 0.624 0.647 0.239
O 0.624 0.977 0.761